! Ho6AuS5, optimized geometry, DFT GGA-PBE; values from VASP
&SYSTEM
  ibrav = 0, nat = 12, ntyp = 3
/
ATOMIC_SPECIES
S 32.06 S.upf
Au 196.97 Au.upf
Ho 164.93 Ho.upf
CELL_PARAMETERS angstrom
6.7052 -0.1092 -1.2645
-3.6269 5.6407 -1.2645
0.1279 0.2298 6.8031
ATOMIC_POSITIONS angstrom
S 5.0483 0.9634 2.1370
S 3.2500 1.8136 -1.2645
S 1.6031 2.8806 2.1370
S -0.1717 3.7178 -1.2645
S -1.8421 4.7979 2.1370
Au 0.0000 0.0000 0.0000
Ho 2.5879 0.4798 1.0793
Ho 4.1624 3.3091 3.1948
Ho 0.8854 1.5911 4.4215
Ho 2.3207 4.1702 -0.1474
Ho -0.9562 2.4521 1.0793
Ho 0.6183 5.2815 3.1948
! Uncorrected formation energy, eV/f.u.: -21.35
! Crystal system: monoclinic

---

! Mg2Te, optimized geometry, DFT GGA-PBE; values from VASP
&SYSTEM
  ibrav = 0, nat = 3, ntyp = 2
/
ATOMIC_SPECIES
Mg 24.30 Mg.upf
Te 127.60 Te.upf
CELL_PARAMETERS angstrom
-3.7304 -2.0116 3.6131
-3.9066 -3.6001 -1.6717
5.5107 0.7021 -0.3948
ATOMIC_POSITIONS angstrom
Mg -2.5696 -1.8881 0.6532
Mg -5.0675 -3.7236 1.2882
Te 0.0000 0.0000 0.0000
! Uncorrected formation energy, eV/f.u.: -0.73
! Crystal system: tetragonal

---

! Rb3LiPu2Te6, optimized geometry, DFT GGA-PBE; values from VASP
&SYSTEM
  ibrav = 0, nat = 12, ntyp = 4
/
ATOMIC_SPECIES
Rb 85.47 Rb.upf
Li 6.94 Li.upf
Pu 244.00 Pu.upf
Te 127.60 Te.upf
CELL_PARAMETERS angstrom
7.9140 -0.0028 0.0035
-3.9575 6.8535 0.0035
-1.3160 -2.2787 8.4087
ATOMIC_POSITIONS angstrom
Rb -2.6908 4.6026 4.2079
Rb 5.3313 -0.0305 4.2079
Rb 1.3203 2.2860 4.2079
Li 0.0000 0.0000 0.0000
Pu -0.0049 4.5707 0.0035
Pu 3.9615 2.2800 0.0035
Te 3.9949 2.2257 6.7781
Te 2.6082 4.5160 1.6203
Te -1.3544 2.3464 1.6377
Te -0.0687 4.5726 6.7781
Te 0.0324 0.0560 6.7954
Te 2.7092 -0.0005 1.6377
! Uncorrected formation energy, eV/f.u.: -11.59
! Crystal system: monoclinic

---

! SrLiSi2Ir, optimized geometry, DFT GGA-PBE; values from VASP
&SYSTEM
  ibrav = 0, nat = 5, ntyp = 4
/
ATOMIC_SPECIES
Sr 87.62 Sr.upf
Li 6.94 Li.upf
Si 28.09 Si.upf
Ir 192.22 Ir.upf
CELL_PARAMETERS angstrom
4.2318 0.0000 0.0000
0.0000 4.2318 0.0000
-2.1159 -2.1159 5.1059
ATOMIC_POSITIONS angstrom
Sr 0.0000 0.0000 0.0000
Li 0.0000 2.1159 2.5529
Si 2.1159 2.1159 1.3053
Si 0.0000 0.0000 3.8006
Ir 2.1159 0.0000 2.5529
! Uncorrected formation energy, eV/f.u.: -2.71
! Crystal system: tetragonal

---

! Sm8BiC4, optimized geometry, DFT GGA-PBE; values from VASP
&SYSTEM
  ibrav = 0, nat = 13, ntyp = 3
/
ATOMIC_SPECIES
Sm 150.36 Sm.upf
Bi 208.98 Bi.upf
C 12.01 C.upf
CELL_PARAMETERS angstrom
3.6132 0.0000 0.7826
1.6144 8.8982 1.2787
-0.1729 0.1500 9.5301
ATOMIC_POSITIONS angstrom
Sm 0.9904 2.9935 4.1594
Sm 3.0414 5.9051 3.4226
Sm 2.1441 3.1638 7.5654
Sm 4.1950 6.0735 6.8284
Sm 4.6198 8.9065 4.8672
Sm 1.7112 6.0200 9.5639
Sm 0.5650 0.1613 6.1235
Sm 3.4744 3.0496 1.4236
Bi 1.6986 0.1608 9.6217
C 2.6051 7.5351 5.4370
C 3.7406 4.6014 8.9263
C 1.4449 4.4683 2.0613
C 2.5798 1.5325 5.5534
! Energy of formation, eV/atom: -0.2416
! Crystal system: monoclinic

---

! SmZr2Cd, optimized geometry, DFT GGA-PBE; values from VASP
&SYSTEM
  ibrav = 0, nat = 4, ntyp = 3
/
ATOMIC_SPECIES
Zr 91.22 Zr.upf
Sm 150.36 Sm.upf
Cd 112.41 Cd.upf
CELL_PARAMETERS angstrom
-3.0338 -0.0168 1.2991
0.9717 -2.2197 2.2406
2.3555 6.6710 5.5872
ATOMIC_POSITIONS angstrom
Zr 1.8111 5.1292 4.2959
Zr 0.5444 1.5418 1.2913
Sm 0.1467 2.2172 4.5634
Cd -1.0311 -1.1182 1.7699
! Energy of formation, eV/atom: 0.0391
! Crystal system: tetragonal

---

! BaAs2Pt, optimized geometry, DFT GGA-PBE; values from VASP
&SYSTEM
  ibrav = 0, nat = 4, ntyp = 3
/
ATOMIC_SPECIES
As 74.92 As.upf
Ba 137.33 Ba.upf
Pt 195.08 Pt.upf
CELL_PARAMETERS angstrom
3.6347 0.0000 0.0000
0.0000 3.6353 0.0000
0.0000 0.0000 7.1856
ATOMIC_POSITIONS angstrom
As 0.0000 0.0000 6.9529
As 1.8173 1.8176 1.3910
Ba 0.0000 0.0000 3.5710
Pt 1.8173 1.8176 6.0492
! Energy of formation, eV/atom: -0.2875
! Crystal system: tetragonal

---

! BeTlMo2, optimized geometry, DFT GGA-PBE; values from VASP
&SYSTEM
  ibrav = 0, nat = 4, ntyp = 3
/
ATOMIC_SPECIES
Be 9.01 Be.upf
Tl 204.38 Tl.upf
Mo 95.94 Mo.upf
CELL_PARAMETERS angstrom
8.8598 -0.0296 -0.0174
8.3816 2.8718 -0.0174
8.3816 1.3817 2.5176
ATOMIC_POSITIONS angstrom
Be 19.2172 3.1679 1.8621
Tl 6.4057 1.0560 0.6207
Mo 0.2890 0.0476 0.0280
Mo 12.5224 2.0643 1.2134
! Energy of formation, eV/atom: 0.7337
! Crystal system: trigonal